Below is a relaxed ThGa crystal, with properties calculated at the GGA-PBE level.

Results
**Energy**: -9.3 eV per formula unit
**Mass density**: 6.803 g/cm³
**V**: 73.7 Å³ per cell

Cell lengths 4.7053, 4.7053, 4.7053 Å; angles 60.00, 60.00, 60.00 degrees
Atoms (fractional coordinates):
Th 0.2500 0.2500 0.2500
Ga 0.0000 0.0000 0.0000